Entry 1:
Material: ErMnCo
Method: DFT, PBE-GGA
State: relaxed

ΔE to the lowest computed polymorph = 0.33 eV per formula unit
space-group type = Pnma, No. 62
V = 17.64 Å³ per atom
calculated formation energy = -0.01 eV/atom
E_tot = -83.5 eV per cell

abc: 10.1436 4.3374 4.8110
angles: 90.00 90.00 90.00
Last column: nearest neighbours and their distance in Å.
Sites, in units of the cell vectors:
1 Er 0.2002 0.2500 0.1140  4 Co 2.62-2.89
2 Er 0.2998 0.7500 0.6140  4 Co 2.62-2.89
3 Er 0.7002 0.2500 0.3860  4 Co 2.62-2.89
4 Er 0.7998 0.7500 0.8860  4 Co 2.62-2.89
5 Mn 0.0024 0.2500 0.6467  4 Co 2.45-2.48, 2 Mn 2.59
6 Mn 0.4976 0.7500 0.1467  4 Co 2.45-2.48, 2 Mn 2.59
7 Mn 0.5024 0.2500 0.8533  4 Co 2.45-2.48, 2 Mn 2.59
8 Mn 0.9976 0.7500 0.3533  4 Co 2.45-2.48, 2 Mn 2.59
9 Co 0.0577 0.7500 0.8535  4 Mn 2.45-2.48, 2 Er 2.62-2.71
10 Co 0.4423 0.2500 0.3535  4 Mn 2.45-2.48, 2 Er 2.62-2.71
11 Co 0.5577 0.7500 0.6465  4 Mn 2.45-2.48, 2 Er 2.62-2.71
12 Co 0.9423 0.2500 0.1465  4 Mn 2.45-2.48, 2 Er 2.62-2.71

Entry 2:
Material: ErMnCo2
Method: DFT, PBE-GGA
State: relaxed

ΔE to the lowest computed polymorph = 0.00 eV per formula unit
space-group type = R-3m, No. 166
V = 16.16 Å³ per atom
calculated formation energy = -0.04 eV/atom
E_tot = -84.4 eV per cell

abc: 4.0099 4.0099 13.9276
angles: 90.00 90.00 120.00
Last column: nearest neighbours and their distance in Å.
Sites, in units of the cell vectors:
1 Er 0.0000 0.0000 0.0000  8 Co 2.74-3.00
2 Er 0.3333 0.6667 0.6667  8 Co 2.74-3.00
3 Er 0.6667 0.3333 0.3333  8 Co 2.74-3.00
4 Mn 0.0000 0.0000 0.5000  6 Co 2.35
5 Mn 0.3333 0.6667 0.1667  6 Co 2.35
6 Mn 0.6667 0.3333 0.8333  6 Co 2.35
7 Co 0.0000 0.0000 0.1966  3 Mn 2.35, 3 Co 2.46
8 Co 0.0000 0.0000 0.8034  3 Mn 2.35, 3 Co 2.46
9 Co 0.3333 0.6667 0.4701  3 Mn 2.35, 3 Co 2.46
10 Co 0.3333 0.6667 0.8632  3 Mn 2.35, 3 Co 2.46
11 Co 0.6667 0.3333 0.1368  3 Mn 2.35, 3 Co 2.46
12 Co 0.6667 0.3333 0.5299  3 Mn 2.35, 3 Co 2.46

Entry 3:
Material: ErMnCo
Method: DFT, PBE-GGA
State: relaxed

ΔE to the lowest computed polymorph = 0.33 eV per formula unit
space-group type = P-6m2, No. 187
V = 17.51 Å³ per atom
calculated formation energy = -0.01 eV/atom
E_tot = -20.9 eV per cell

abc: 3.8477 3.8477 4.0974
angles: 90.00 90.00 120.00
Last column: nearest neighbours and their distance in Å.
Sites, in units of the cell vectors:
1 Er 0.0000 0.0000 0.0000  6 Mn 3.02, 6 Co 3.02
2 Mn 0.6667 0.3333 0.5000  3 Co 2.22
3 Co 0.3333 0.6667 0.5000  3 Mn 2.22

Entry 4:
Material: ErMnCo2
Method: DFT, PBE-GGA
State: relaxed

ΔE to the lowest computed polymorph = 0.14 eV per formula unit
space-group type = Fm-3m, No. 225
V = 14.71 Å³ per atom
calculated formation energy = -0.01 eV/atom
E_tot = -111.9 eV per cell

abc: 6.1738 6.1738 6.1738
angles: 90.00 90.00 90.00
Last column: nearest neighbours and their distance in Å.
Sites, in units of the cell vectors:
1 Er 0.0000 0.0000 0.0000  8 Co 2.67
2 Er 0.0000 0.5000 0.5000  8 Co 2.67
3 Er 0.5000 0.0000 0.5000  8 Co 2.67
4 Er 0.5000 0.5000 0.0000  8 Co 2.67
5 Mn 0.0000 0.0000 0.5000  8 Co 2.67
6 Mn 0.0000 0.5000 0.0000  8 Co 2.67
7 Mn 0.5000 0.0000 0.0000  8 Co 2.67
8 Mn 0.5000 0.5000 0.5000  8 Co 2.67
9 Co 0.2500 0.2500 0.2500  4 Mn 2.67, 4 Er 2.67
10 Co 0.2500 0.2500 0.7500  4 Mn 2.67, 4 Er 2.67
11 Co 0.2500 0.7500 0.2500  4 Mn 2.67, 4 Er 2.67
12 Co 0.2500 0.7500 0.7500  4 Mn 2.67, 4 Er 2.67
13 Co 0.7500 0.2500 0.2500  4 Mn 2.67, 4 Er 2.67
14 Co 0.7500 0.2500 0.7500  4 Mn 2.67, 4 Er 2.67
15 Co 0.7500 0.7500 0.2500  4 Mn 2.67, 4 Er 2.67
16 Co 0.7500 0.7500 0.7500  4 Er 2.67, 4 Mn 2.67